# CoTePdO PBE with a Hubbard U optimized geometry
# E above lowest polymorph ... 223 meV per atom
# E_tot ... -19.365 eV/f.u.
data_CoTePdO
_cell_length_a 3.2760
_cell_length_b 13.0976
_cell_length_c 6.2830
_cell_angle_alpha 90.00
_cell_angle_beta 90.00
_cell_angle_gamma 90.00
_symmetry_space_group_name_H-M 'C m c 21'
_symmetry_Int_Tables_number 36
loop_
_symmetry_equiv_pos_as_xyz
'x,y,z'
'-x,-y,z+1/2'
'-x,y,z'
'x,-y,z+1/2'
'x+1/2,y+1/2,z'
'-x+1/2,-y+1/2,z+1/2'
'-x+1/2,y+1/2,z'
'x+1/2,-y+1/2,z+1/2'
loop_
_atom_site_label
_atom_site_type_symbol
_atom_site_fract_x
_atom_site_fract_y
_atom_site_fract_z
Co1 Co 0.0000 0.1767 0.0000
Te1 Te 0.0000 0.1505 0.4308
Pd1 Pd 0.0000 0.4936 0.1624
O1 O 0.0000 0.3949 0.4235